{"formula": "LiZnCu2Ru", "functional": "GGA-PBE", "state": "relaxed", "lattice_angstrom": [[4.6615, 0.0000, 0.0000], [0.0000, 4.5991, 0.0000], [0.0000, 0.0000, 4.6615]], "species": ["Ru", "Zn", "Cu", "Cu", "Li"], "frac_coords": [[0.0000, 0.0000, 0.0000], [0.5000, 0.5000, 0.5000], [0.0000, 0.0000, 0.5000], [0.5000, 0.0000, 0.0000], [0.0000, 0.5000, 0.0000]], "magmom_total_mub_per_cell": 1.7, "formation_enthalpy_0k_ev_per_atom": 1.059}

=====

{"formula": "Li3Cu4S4", "functional": "GGA-PBE", "state": "relaxed", "lattice_angstrom": [[-2.8545, -2.1791, -0.2962], [-1.3535, 2.6251, -6.2698], [5.8031, -4.7049, 0.6079]], "species": ["Li", "Li", "Li", "Cu", "Cu", "Cu", "Cu", "S", "S", "S", "S"], "frac_coords": [[0.0973, 0.0973, 0.1945], [0.9027, 0.9027, 0.8055], [0.0000, 0.5000, 0.0000], [0.3275, 0.1341, 0.6550], [0.6725, 0.4791, 0.3450], [0.6725, 0.8659, 0.3450], [0.3275, 0.5209, 0.6550], [0.2376, 0.7376, 0.4753], [0.7624, 0.2624, 0.5247], [0.5000, 0.7685, 0.0000], [0.5000, 0.2315, 0.0000]], "formation_energy_uncorrected_ev_per_fu": -6.18, "magmom_total_mub_per_cell": 0.0}

=====

{"formula": "LiCuS2", "functional": "GGA-PBE", "state": "relaxed", "lattice_angstrom": [[0.0000, 3.0727, 3.0727], [3.0727, 0.0000, 3.0727], [3.0727, 3.0727, 0.0000]], "species": ["S", "S", "Cu", "Li"], "frac_coords": [[0.2500, 0.2500, 0.2500], [0.7500, 0.7500, 0.7500], [0.5000, 0.5000, 0.5000], [0.0000, 0.0000, 0.0000]], "formation_energy_uncorrected_ev_per_fu": -0.45, "magmom_total_mub_per_cell": 0.0}

=====

{"formula": "Li10Cu4S9", "functional": "GGA-PBE", "state": "relaxed", "lattice_angstrom": [[11.6118, 0.0000, 0.0000], [0.0000, 11.6118, 0.0000], [0.0000, 0.0000, 5.6517]], "species": ["Li", "Li", "Li", "Li", "Li", "Li", "Li", "Li", "Li", "Li", "Li", "Li", "Li", "Li", "Li", "Li", "Li", "Li", "Li", "Li", "Cu", "Cu", "Cu", "Cu", "Cu", "Cu", "Cu", "Cu", "S", "S", "S", "S", "S", "S", "S", "S", "S", "S", "S", "S", "S", "S", "S", "S", "S", "S"], "frac_coords": [[0.1499, 0.3154, 0.2141], [0.8501, 0.3154, 0.2141], [0.8154, 0.3501, 0.7141], [0.1846, 0.3501, 0.7141], [0.0000, 0.5000, 0.1734], [0.0000, 0.5000, 0.6734], [0.8154, 0.6499, 0.7141], [0.1846, 0.6499, 0.7141], [0.8501, 0.6846, 0.2141], [0.1499, 0.6846, 0.2141], [0.3501, 0.8154, 0.2859], [0.6499, 0.8154, 0.2859], [0.3154, 0.8501, 0.7859], [0.6846, 0.8501, 0.7859], [0.5000, 0.0000, 0.8266], [0.5000, 0.0000, 0.3266], [0.6846, 0.1499, 0.7859], [0.3154, 0.1499, 0.7859], [0.3501, 0.1846, 0.2859], [0.6499, 0.1846, 0.2859], [0.5000, 0.3458, 0.7556], [0.6542, 0.5000, 0.2444], [0.3458, 0.5000, 0.2444], [0.5000, 0.6542, 0.7556], [0.0000, 0.8458, 0.7444], [0.8458, 0.0000, 0.2556], [0.1542, 0.0000, 0.2556], [0.0000, 0.1542, 0.7444], [0.3399, 0.3399, 0.0000], [0.6601, 0.3399, 0.0000], [0.0000, 0.3335, 0.9252], [0.5000, 0.5000, 0.5000], [0.8335, 0.5000, 0.4252], [0.1665, 0.5000, 0.4252], [0.0000, 0.6665, 0.9252], [0.3399, 0.6601, 0.0000], [0.6601, 0.6601, 0.0000], [0.8399, 0.8399, 0.5000], [0.1601, 0.8399, 0.5000], [0.5000, 0.8335, 0.5748], [0.6665, 0.0000, 0.0748], [0.0000, 0.0000, 0.0000], [0.3335, 0.0000, 0.0748], [0.5000, 0.1665, 0.5748], [0.8399, 0.1601, 0.5000], [0.1601, 0.1601, 0.5000]], "formation_energy_uncorrected_ev_per_fu": -19.53, "magmom_total_mub_per_cell": 0.0}

=====

{"formula": "Li2Cu4S3", "functional": "GGA-PBE", "state": "relaxed", "lattice_angstrom": [[7.1761, 0.0662, -0.0229], [1.4292, 7.0326, -0.0229], [2.1639, 1.7850, 5.4220]], "species": ["Li", "Li", "Li", "Li", "Cu", "Cu", "Cu", "Cu", "Cu", "Cu", "Cu", "Cu", "S", "S", "S", "S", "S", "S"], "frac_coords": [[0.5909, 0.7132, 0.3108], [0.7132, 0.5909, 0.8108], [0.2868, 0.4091, 0.1892], [0.4091, 0.2868, 0.6892], [0.3990, 0.8784, 0.8960], [0.8784, 0.3990, 0.3960], [0.9766, 0.2548, 0.0351], [0.2548, 0.9766, 0.5351], [0.7452, 0.0234, 0.4649], [0.0234, 0.7452, 0.9649], [0.1216, 0.6010, 0.6040], [0.6010, 0.1216, 0.1040], [0.2675, 0.0905, 0.1270], [0.0905, 0.2675, 0.6270], [0.6489, 0.3511, 0.2500], [0.3511, 0.6489, 0.7500], [0.9095, 0.7325, 0.3730], [0.7325, 0.9095, 0.8730]], "formation_energy_uncorrected_ev_per_fu": -4.13, "magmom_total_mub_per_cell": 0.0, "e_above_lowest_polymorph_mev_per_atom": 67}

=====

{"formula": "LiCuS3", "functional": "GGA-PBE", "state": "relaxed", "lattice_angstrom": [[-0.4600, -1.2998, 4.3436], [-2.0555, -3.8316, -1.3643], [4.0411, -2.0969, -0.1995]], "species": ["S", "S", "S", "Cu", "Li"], "frac_coords": [[0.0000, 0.5000, 0.0000], [0.0000, 0.0000, 0.5000], [0.5000, 0.0000, 0.0000], [0.0000, 0.0000, 0.0000], [0.5000, 0.5000, 0.5000]], "formation_energy_uncorrected_ev_per_fu": 0.90, "magmom_total_mub_per_cell": 0.0, "e_above_lowest_polymorph_mev_per_atom": 0}

=====

{"formula": "LiCu2S2", "functional": "GGA-PBE", "state": "relaxed", "lattice_angstrom": [[-5.6926, 1.0092, -1.2612], [0.4946, -4.6956, -3.5667], [1.1884, -1.1329, 5.9927]], "species": ["Li", "Li", "Cu", "Cu", "Cu", "Cu", "S", "S", "S", "S"], "frac_coords": [[0.1281, 0.8719, 0.2500], [0.8719, 0.1281, 0.7500], [0.7692, 0.5105, 0.5250], [0.4895, 0.2308, 0.9750], [0.5105, 0.7692, 0.0250], [0.2308, 0.4895, 0.4750], [0.4089, 0.5911, 0.2500], [0.8484, 0.1516, 0.2500], [0.1516, 0.8484, 0.7500], [0.5911, 0.4089, 0.7500]], "formation_energy_uncorrected_ev_per_fu": -2.24, "magmom_total_mub_per_cell": 0.0}

=====

{"formula": "Li3CuS", "functional": "GGA-PBE", "state": "relaxed", "lattice_angstrom": [[-0.9586, 2.9827, 3.3569], [-3.8663, -2.2940, 0.9343], [2.2840, -2.6315, 2.9904]], "species": ["S", "Cu", "Li", "Li", "Li"], "frac_coords": [[0.0000, 0.0000, 0.0000], [0.5000, 0.5000, 0.5000], [0.0000, 0.5000, 0.0000], [0.0000, 0.0000, 0.5000], [0.5000, 0.0000, 0.0000]], "formation_energy_uncorrected_ev_per_fu": -2.45, "magmom_total_mub_per_cell": 0.0, "e_above_lowest_polymorph_mev_per_atom": 0}